Below is an optimized crystal structure of Ag8Hg, with properties calculated at the PBEsol level.

Cell lengths 8.6991, 8.6991, 4.0403 Å; angles 90.00, 90.00, 90.00 degrees
Closest atoms and distances in Å follow each position.
Space group I4/mmm (No. 139)
Symmetry-distinct sites (fractional):
Ag (0.0000, 0.3357, 0.0000) [8 per cell]  11 Ag 2.86-2.89, 1 Hg 2.92
Ag (0.1691, 0.1691, 0.5000) [8 per cell]  10 Ag 2.84-2.94, 2 Hg 2.90
Hg (0.0000, 0.0000, 0.0000) [2 per cell]  12 Ag 2.90-2.92

* crystal system: tetragonal
* DFT total energy: -54.15 eV/cell
* M_tot: 0.000 μB per formula unit
* ΔE_f: -0.2 kJ/mol of atoms